A relaxed structure of Ho2SiNiPt6, computed with PBE.

```
Ho2SiNiPt6
1.0
5.3909 0.0000 0.0000
2.4309 5.6877 0.0000
2.2866 0.2109 5.9140
Ho Si Ni Pt
2 1 1 6
Direct
0.0067 0.2404 0.2749
0.9933 0.7596 0.7251
0.5000 0.5000 0.0000
0.5000 0.0000 0.5000
0.0016 0.7217 0.2579
0.3708 0.9029 0.9064
0.4936 0.3312 0.6870
0.5064 0.6688 0.3130
0.6292 0.0971 0.0936
0.9984 0.2783 0.7421
```

Symmetry: P-1 (2)
N(E_F): 0.55 states/eV/atom
Uncorrected formation energy: -0.801 eV/atom

=====

A relaxed structure of Y2ZnGa3, computed with PBE.

```
Y2ZnGa3
1.0
3.7082 0.0000 0.0000
0.0000 4.3727 0.0000
0.0000 0.0000 7.5693
Y Zn Ga
2 1 3
Direct
0.0000 0.0000 0.0000
0.0000 0.5000 0.4947
0.5000 0.5000 0.8280
0.5000 0.0000 0.3334
0.5000 0.0000 0.6686
0.5000 0.5000 0.1589
```

Relative energy among the computed polymorphs: 5.6 meV per atom
E_form: -0.61 eV/atom
Symmetry: Pmm2 (25)
N(E_F): 0.60 states/eV/atom

=====

A relaxed structure of KCeY4O8, computed with PBE.

```
KCeY4O8
1.0
3.4763 2.0070 5.7699
-3.4763 2.0070 5.7699
0.0000 -4.0141 5.7699
K Ce Y O
1 1 4 8
Direct
0.0000 0.0000 0.0000
0.3722 0.3722 0.3722
0.3709 0.3709 0.8839
0.3709 0.8839 0.3709
0.7499 0.7499 0.7499
0.8839 0.3709 0.3709
0.1414 0.6237 0.6237
0.1435 0.1435 0.5590
0.1435 0.5590 0.1435
0.1461 0.1461 0.1461
0.5590 0.1435 0.1435
0.6182 0.6182 0.6182
0.6237 0.1414 0.6237
0.6237 0.6237 0.1414
```

Symmetry: R3m (160)
N(E_F): 0.26 states/eV/atom
Uncorrected formation energy: -3.162 eV/atom

=====

A relaxed structure of SrNi2B2P6, computed with PBE.

```
SrNi2B2P6
1.0
4.0799 0.0000 0.0000
1.1472 6.2562 0.0000
0.4241 2.8994 6.6180
Sr Ni B P
1 2 2 6
Direct
0.0000 0.0000 0.0000
0.4218 0.3346 0.6901
0.5782 0.6654 0.3099
0.0334 0.7793 0.6511
0.9666 0.2207 0.3489
0.1432 0.4776 0.3751
0.2427 0.5105 0.9052
0.3244 0.9355 0.4248
0.6756 0.0645 0.5752
0.7573 0.4895 0.0948
0.8568 0.5224 0.6249
```

E_form: -0.26 eV/atom
Symmetry: P-1 (2)
N(E_F): 0.14 states/eV/atom

=====

A relaxed structure of DyHfB4, computed with PBE.

```
DyHfB4
1.0
-1.7082 1.7082 5.6585
1.7082 -1.7082 5.6585
1.7082 1.7082 -5.6585
Dy Hf B
1 1 4
Direct
0.0000 0.0000 0.0000
0.7500 0.2500 0.5000
0.1727 0.6727 0.5000
0.3273 0.8273 0.5000
0.4148 0.4148 0.0000
0.5852 0.5852 0.0000
```

E_form: -0.68 eV/atom
Symmetry: I-4m2 (119)
N(E_F): 0.09 states/eV/atom

=====

A relaxed structure of Cs5NaAg4, computed with PBE.

```
Cs5NaAg4
1.0
11.9187 -2.5299 0.0000
11.9187 2.5299 0.0000
-3.6688 0.0000 8.8721
Cs Na Ag
5 1 4
Direct
0.0000 0.0000 0.0000
0.3080 0.3080 0.7116
0.3634 0.3634 0.2519
0.6366 0.6366 0.7481
0.6920 0.6920 0.2884
0.0000 0.0000 0.5000
0.1089 0.1089 0.4200
0.4560 0.4560 0.6496
0.5440 0.5440 0.3504
0.8911 0.8911 0.5800
```

E_form: 0.04 eV/atom
Symmetry: C2/m (12)
N(E_F): 0.51 states/eV/atom

=====

A relaxed structure of Ta4VTc3, computed with PBE.

```
Ta4VTc3
1.0
3.1769 0.0000 0.0000
0.0000 3.1769 0.0000
0.0000 0.0000 12.7887
Ta V Tc
4 1 3
Direct
0.0000 0.0000 0.1251
0.0000 0.0000 0.3747
0.0000 0.0000 0.6253
0.0000 0.0000 0.8749
0.5000 0.5000 0.0000
0.5000 0.5000 0.2503
0.5000 0.5000 0.5000
0.5000 0.5000 0.7497
```

E_form: -0.39 eV/atom
Symmetry: P4/mmm (123)
N(E_F): 0.55 states/eV/atom

=====

A relaxed structure of Tl2AgMoBr6, computed with PBE.

```
Tl2AgMoBr6
1.0
3.7777 2.1810 13.4357
-3.7777 2.1810 13.4357
0.0000 -4.3621 13.4357
Tl Ag Mo Br
4 2 2 12
Direct
0.1397 0.1397 0.1397
0.3095 0.3095 0.3095
0.6905 0.6905 0.6905
0.8603 0.8603 0.8603
0.4159 0.4159 0.4159
0.5841 0.5841 0.5841
0.0000 0.0000 0.0000
0.5000 0.5000 0.5000
0.1343 0.6268 0.6268
0.2006 0.2006 0.7111
0.2006 0.7111 0.2006
0.2889 0.7994 0.7994
0.3732 0.3732 0.8657
0.3732 0.8657 0.3732
0.6268 0.1343 0.6268
0.6268 0.6268 0.1343
0.7111 0.2006 0.2006
0.7994 0.2889 0.7994
0.7994 0.7994 0.2889
0.8657 0.3732 0.3732
```

Symmetry: R-3m (166)
Uncorrected formation energy: -0.590 eV/atom